--- 1 ---
## Rb2AgO2 (PBE-GGA)

Data for crystalline Rb2AgO2 at its relaxed geometry.

Structure (POSCAR):
```
Rb2AgO2
1.0
4.170 0.000 0.000
0.000 4.170 0.000
0.000 0.000 14.299
Rb Ag O
4 2 4
Direct
0.000 0.000 0.158 Rb
0.000 0.000 0.842 Rb
0.500 0.500 0.342 Rb
0.500 0.500 0.658 Rb
0.000 0.000 0.500 Ag
0.500 0.500 0.000 Ag
0.000 0.000 0.362 O
0.000 0.000 0.638 O
0.500 0.500 0.138 O
0.500 0.500 0.862 O
```

Results
Mass density   4.15 g cm⁻³



--- 2 ---
## Rb2AgO2 (PBE-GGA)

Data for crystalline Rb2AgO2 at its relaxed geometry.

Structure (POSCAR):
```
Rb2AgO2
1.0
6.720 0.000 0.000
0.000 6.720 0.000
0.000 0.000 4.431
Rb Ag O
4 2 4
Direct
0.156 0.344 0.000 Rb
0.344 0.844 0.000 Rb
0.656 0.156 0.000 Rb
0.844 0.656 0.000 Rb
0.000 0.000 0.500 Ag
0.500 0.500 0.500 Ag
0.180 0.680 0.500 O
0.320 0.180 0.500 O
0.680 0.820 0.500 O
0.820 0.320 0.500 O
```

Results
Mass density   5.16 g cm⁻³



It is 1 that is most stable; the runner-up trails by 373 meV/atom.



--- 1 ---
## Rb2Ag2O (PBE-GGA)

Data for crystalline Rb2Ag2O at its relaxed geometry.

Structure (POSCAR):
```
Rb2Ag2O
1.0
3.784 0.000 0.000
0.000 3.784 0.000
0.000 0.000 19.920
Rb Ag O
4 4 2
Direct
0.000 0.000 0.079 Rb
0.000 0.000 0.921 Rb
0.500 0.500 0.421 Rb
0.500 0.500 0.579 Rb
0.000 0.500 0.250 Ag
0.000 0.500 0.750 Ag
0.500 0.000 0.250 Ag
0.500 0.000 0.750 Ag
0.000 0.000 0.500 O
0.500 0.500 0.000 O
```

Results
Mass density   4.69 g cm⁻³



--- 2 ---
## Rb2Ag2O (PBE-GGA)

Data for crystalline Rb2Ag2O at its relaxed geometry.

Structure (POSCAR):
```
Rb2Ag2O
1.0
7.051 0.000 0.000
0.000 7.051 0.000
0.000 0.000 6.606
Rb Ag O
4 4 2
Direct
0.173 0.327 0.000 Rb
0.327 0.827 0.000 Rb
0.673 0.173 0.000 Rb
0.827 0.673 0.000 Rb
0.136 0.636 0.500 Ag
0.364 0.136 0.500 Ag
0.636 0.864 0.500 Ag
0.864 0.364 0.500 Ag
0.000 0.000 0.000 O
0.500 0.500 0.000 O
```

Results
Mass density   4.07 g cm⁻³



It is 1 that is most stable; the runner-up trails by 346 meV/atom.



--- 1 ---
## ReAgO2 (PBE-GGA)

Data for crystalline ReAgO2 at its relaxed geometry.

Structure (POSCAR):
```
ReAgO2
1.0
5.636 0.000 0.000
0.000 5.636 0.000
0.000 0.000 5.636
Re Ag O
4 4 8
Direct
0.000 0.000 0.000 Re
0.000 0.500 0.500 Re
0.500 0.000 0.500 Re
0.500 0.500 0.000 Re
0.000 0.000 0.500 Ag
0.000 0.500 0.000 Ag
0.500 0.000 0.000 Ag
0.500 0.500 0.500 Ag
0.250 0.250 0.250 O
0.250 0.250 0.750 O
0.250 0.750 0.250 O
0.250 0.750 0.750 O
0.750 0.250 0.250 O
0.750 0.250 0.750 O
0.750 0.750 0.250 O
0.750 0.750 0.750 O
```

Results
Mass density   12.10 g cm⁻³



--- 2 ---
## ReAgO2 (PBE-GGA)

Data for crystalline ReAgO2 at its relaxed geometry.

Structure (POSCAR):
```
ReAgO2
1.0
2.789 0.000 0.000
-1.394 2.415 0.000
0.000 0.000 22.171
Re Ag O
3 3 6
Direct
0.000 0.000 0.000 Re
0.333 0.667 0.667 Re
0.667 0.333 0.333 Re
0.000 0.000 0.500 Ag
0.333 0.667 0.167 Ag
0.667 0.333 0.833 Ag
0.000 0.000 0.393 O
0.000 0.000 0.607 O
0.333 0.667 0.060 O
0.333 0.667 0.273 O
0.667 0.333 0.727 O
0.667 0.333 0.940 O
```

Results
Mass density   10.88 g cm⁻³



It is 2 that is most stable; the runner-up trails by 1204 meV/atom.